# 1
# RbNiPd PBE optimized geometry
data_RbNiPd
_symmetry_space_group_name_H-M 'P 1 21/m 1'
_symmetry_Int_Tables_number 11
_symmetry_space_group_name_Hall '-P 2yb'
_cell_length_a 4.901
_cell_length_b 4.224
_cell_length_c 9.746
_cell_angle_alpha 90.00
_cell_angle_beta 91.25
_cell_angle_gamma 90.00
loop_
_atom_site_label
_atom_site_type_symbol
_atom_site_fract_x
_atom_site_fract_y
_atom_site_fract_z
_atom_site_occupancy
Rb1 Rb 0.247 0.250 0.279 1
Ni1 Ni 0.120 0.750 0.003 1
Pd1 Pd 0.371 0.250 0.941 1
# energy relative to the lowest polymorph listed for this composition = 0.0 meV/atom
# DOS(E_F) = 1.21 states/eV/atom

***

# 2
# PmNpO5 PBE optimized geometry
data_PmNpO5
_symmetry_space_group_name_H-M 'I m m m'
_symmetry_Int_Tables_number 71
_symmetry_space_group_name_Hall '-I 2 2'
_cell_length_a 4.147
_cell_length_b 6.700
_cell_length_c 8.479
_cell_angle_alpha 90.00
_cell_angle_beta 90.00
_cell_angle_gamma 90.00
loop_
_atom_site_label
_atom_site_type_symbol
_atom_site_fract_x
_atom_site_fract_y
_atom_site_fract_z
_atom_site_occupancy
Pm1 Pm 0.000 0.000 0.000 1
Np1 Np 0.000 0.000 0.500 1
O1 O 0.000 0.000 0.272 1
O2 O 0.000 0.302 0.500 1
O3 O 0.000 0.500 0.000 1
# formation energy without anion corrections = -275.7 kJ/mol of atoms

***

| no. | M_tot (μB per cell) |
| --- | --- |
| 1 | 1.36 |
| 2 | 0.00 |